Material: NaRe3Ge
Method: DFT, PBE-GGA
State: optimized geometry

Its density is 11.001 Mg/m³. As for the total magnetization: 0.000 μB/atom. The energy above the most stable polymorph in this dataset is 0.00 eV/f.u. For the electronic total energy, the calculation gives -6.76 eV/atom.

It has space group Pm-3m (No. 221), with a = 4.622 Å, b = 4.622 Å, c = 4.622 Å, α = 90.00°, β = 90.00° and γ = 90.00°. The distinct sites, in fractional coordinates, are Na at (0.000, 0.000, 0.000), Re at (0.000, 0.500, 0.500) and Ge at (0.500, 0.500, 0.500).